# 1
Entry from OQMD via LeMat-Bulk: a relaxed FeNiAgB crystal (PBE).

The space group is F-43m (No. 216) and the conventional cell measures 5.719, 5.719 and 5.719 Å, with angles of 90.00, 90.00 and 90.00 degrees. Symmetry generates all atoms from Fe at (0.000, 0.000, 0.000), Ni at (0.000, 0.000, 0.500), Ag at (0.250, 0.250, 0.250) and B at (0.250, 0.250, 0.750).

The calculation puts the size of the total moment at 10.26 μB/cell. The calculation puts the volume at 11.69 A^3/atom. The calculation puts the energy above the most stable polymorph in this dataset at 62 meV/atom.



# 2
Entry from OQMD via LeMat-Bulk: a relaxed YFeAgB crystal (PBE).

The space group is F-43m (No. 216) and the conventional cell measures 6.343, 6.343 and 6.343 Å, with angles of 90.00, 90.00 and 90.00 degrees. Symmetry generates all atoms from Y at (0.000, 0.000, 0.000), Fe at (0.250, 0.250, 0.750), Ag at (0.250, 0.250, 0.250) and B at (0.000, 0.000, 0.500).

The calculation puts the size of the total moment at 9.74 μB/cell. The calculation puts the volume at 15.95 A^3/atom. The calculation puts the energy above the most stable polymorph in this dataset at 270 meV/atom.



# 3
Entry from OQMD via LeMat-Bulk: a relaxed YFeAgB crystal (PBE).

The space group is F-43m (No. 216) and the conventional cell measures 6.395, 6.395 and 6.395 Å, with angles of 90.00, 90.00 and 90.00 degrees. Symmetry generates all atoms from Y at (0.000, 0.000, 0.000), Fe at (0.000, 0.000, 0.500), Ag at (0.250, 0.250, 0.750) and B at (0.250, 0.250, 0.250).

The calculation puts the size of the total moment at 10.74 μB/cell. The calculation puts the volume at 16.34 A^3/atom. The calculation puts the energy above the most stable polymorph in this dataset at 0 meV/atom.



# 4
Entry from OQMD via LeMat-Bulk: a relaxed GaAgB4 crystal (PBE).

The space group is Immm (No. 71) and the conventional cell measures 3.082, 5.357 and 7.330 Å, with angles of 90.00, 90.00 and 90.00 degrees. Symmetry generates all atoms from Ga at (0.000, 0.000, 0.000), Ag at (0.000, 0.000, 0.500) and B at (0.000, 0.332, 0.254).

The calculation puts the volume at 10.09 A^3/atom. The calculation puts the energy above the most stable polymorph in this dataset at 68 meV/atom.



# 5
Entry from OQMD via LeMat-Bulk: a relaxed GaAgB4 crystal (PBE).

The space group is P6/mmm (No. 191) and the conventional cell measures 3.0678, 3.0678 and 7.2886 Å, with angles of 90.00, 90.00 and 120.00 degrees. Symmetry generates all atoms from Ga at (0.0000, 0.0000, 0.0000), Ag at (0.0000, 0.0000, 0.5000) and B at (0.3333, 0.6667, 0.2264).

The calculation puts the volume at 9.90 A^3/atom. The calculation puts the energy above the most stable polymorph in this dataset at 0 meV/atom.



# 6
Entry from OQMD via LeMat-Bulk: a relaxed GdAgB4 crystal (PBE).

The space group is Immm (No. 71) and the conventional cell measures 3.159, 5.433 and 8.042 Å, with angles of 90.00, 90.00 and 90.00 degrees. Symmetry generates all atoms from Gd at (0.000, 0.000, 0.000), Ag at (0.000, 0.000, 0.500) and B at (0.000, 0.320, 0.259).

The calculation puts the size of the total moment at 0.00 μB/cell. The calculation puts the volume at 11.50 A^3/atom. The calculation puts the energy above the most stable polymorph in this dataset at 0 meV/atom.



# 7
Entry from OQMD via LeMat-Bulk: a relaxed GdAgB crystal (PBE).

The space group is F-43m (No. 216) and the conventional cell measures 6.093, 6.093 and 6.093 Å, with angles of 90.00, 90.00 and 90.00 degrees. Symmetry generates all atoms from Gd at (0.000, 0.000, 0.000), Ag at (0.000, 0.000, 0.500) and B at (0.250, 0.250, 0.750).

The calculation puts the size of the total moment at 2.86 μB/cell. The calculation puts the volume at 18.85 A^3/atom. For the total energy, the calculation gives -4.5669 eV/atom.



# 8
Entry from OQMD via LeMat-Bulk: a relaxed GdAgB4 crystal (PBE).

The space group is P6/mmm (No. 191) and the conventional cell measures 3.2332, 3.2332 and 7.3593 Å, with angles of 90.00, 90.00 and 120.00 degrees. Symmetry generates all atoms from Gd at (0.0000, 0.0000, 0.0000), Ag at (0.0000, 0.0000, 0.5000) and B at (0.3333, 0.6667, 0.2570).

The calculation puts the size of the total moment at 0.00 μB/cell. The calculation puts the volume at 11.10 A^3/atom. The calculation puts the energy above the most stable polymorph in this dataset at 75 meV/atom.



# 9
Entry from OQMD via LeMat-Bulk: a relaxed AgGe2B crystal (PBE).

The space group is F-43m (No. 216) and the conventional cell measures 6.385, 6.385 and 6.385 Å, with angles of 90.00, 90.00 and 90.00 degrees. Symmetry generates all atoms from Ag at (0.000, 0.000, 0.000), Ge at (0.000, 0.000, 0.500), Ge at (0.250, 0.250, 0.250) and B at (0.250, 0.250, 0.750).

The calculation puts the volume at 16.27 A^3/atom. For the total energy, the calculation gives -3.7031 eV/atom.



# 10
Entry from OQMD via LeMat-Bulk: a relaxed AgGeB4 crystal (PBE).

The space group is Immm (No. 71) and the conventional cell measures 3.059, 5.367 and 7.658 Å, with angles of 90.00, 90.00 and 90.00 degrees. Symmetry generates all atoms from Ag at (0.000, 0.000, 0.000), Ge at (0.000, 0.000, 0.500) and B at (0.000, 0.336, 0.247).

The calculation puts the volume at 10.48 A^3/atom. The calculation puts the energy above the most stable polymorph in this dataset at 27 meV/atom.



# 11
Entry from OQMD via LeMat-Bulk: a relaxed AgGeB4 crystal (PBE).

The space group is P6/mmm (No. 191) and the conventional cell measures 3.0616, 3.0616 and 7.5638 Å, with angles of 90.00, 90.00 and 120.00 degrees. Symmetry generates all atoms from Ag at (0.0000, 0.0000, 0.0000), Ge at (0.0000, 0.0000, 0.5000) and B at (0.3333, 0.6667, 0.2648).

The calculation puts the volume at 10.23 A^3/atom. The calculation puts the energy above the most stable polymorph in this dataset at 0 meV/atom.



# 12
Entry from OQMD via LeMat-Bulk: a relaxed AgGeBO4 crystal (PBE).

The space group is I-4 (No. 82) and the conventional cell measures 4.832, 4.832 and 7.058 Å, with angles of 90.00, 90.00 and 90.00 degrees. Symmetry generates all atoms from Ag at (0.000, 0.000, 0.000), Ge at (0.000, 0.000, 0.500), B at (0.000, 0.500, 0.250) and O at (0.128, 0.276, 0.363).

The calculation puts the volume at 11.77 A^3/atom. For the total energy, the calculation gives -6.3833 eV/atom.



# 13
Entry from OQMD via LeMat-Bulk: a relaxed AgB5H5 crystal (PBE).

The space group is P4/nnc (No. 126, origin choice 2) and the conventional cell measures 6.290, 6.290 and 10.111 Å, with angles of 90.00, 90.00 and 90.00 degrees. Symmetry generates all atoms from Ag at (0.250, 0.750, 0.000), B at (0.061, 0.172, 0.175), B at (0.250, 0.250, 0.064), H at (0.087, 0.608, 0.146) and H at (0.250, 0.250, 0.554).

The calculation puts the volume at 9.09 A^3/atom. For the total energy, the calculation gives -4.8544 eV/atom.



# 14
Entry from OQMD via LeMat-Bulk: a relaxed AgBH6Os crystal (PBE).

The space group is F-43m (No. 216) and the conventional cell measures 6.439, 6.439 and 6.439 Å, with angles of 90.00, 90.00 and 90.00 degrees. Symmetry generates all atoms from Ag at (0.000, 0.000, 0.000), B at (0.000, 0.000, 0.500), H at (0.015, 0.250, 0.750) and Os at (0.250, 0.250, 0.250).

The calculation puts the size of the total moment at 0.00 μB/cell. The calculation puts the volume at 7.42 A^3/atom. For the total energy, the calculation gives -3.7987 eV/atom.



# 15
Entry from OQMD via LeMat-Bulk: a relaxed AgBH6Pd crystal (PBE).

The space group is F-43m (No. 216) and the conventional cell measures 6.711, 6.711 and 6.711 Å, with angles of 90.00, 90.00 and 90.00 degrees. Symmetry generates all atoms from Ag at (0.000, 0.000, 0.000), B at (0.000, 0.000, 0.500), H at (0.001, 0.250, 0.250) and Pd at (0.250, 0.250, 0.250).

The calculation puts the volume at 8.39 A^3/atom. For the total energy, the calculation gives -3.1379 eV/atom.



# 16
Entry from OQMD via LeMat-Bulk: a relaxed AgBTeH6 crystal (PBE).

The space group is F-43m (No. 216) and the conventional cell measures 6.781, 6.781 and 6.781 Å, with angles of 90.00, 90.00 and 90.00 degrees. Symmetry generates all atoms from Ag at (0.000, 0.000, 0.000), B at (0.000, 0.000, 0.500), Te at (0.250, 0.250, 0.250) and H at (0.105, 0.250, 0.750).

The calculation puts the volume at 8.66 A^3/atom. For the total energy, the calculation gives -2.4118 eV/atom.



# 17
Entry from OQMD via LeMat-Bulk: a relaxed HfAgB crystal (PBE).

The space group is F-43m (No. 216) and the conventional cell measures 6.032, 6.032 and 6.032 Å, with angles of 90.00, 90.00 and 90.00 degrees. Symmetry generates all atoms from Hf at (0.000, 0.000, 0.000), Ag at (0.250, 0.250, 0.750) and B at (0.250, 0.250, 0.250).

The calculation puts the size of the total moment at 0.00 μB/cell. The calculation puts the volume at 18.29 A^3/atom. The calculation puts the energy above the most stable polymorph in this dataset at 195 meV/atom.



# 18
Entry from OQMD via LeMat-Bulk: a relaxed HfAgB2 crystal (PBE).

The space group is F-43m (No. 216) and the conventional cell measures 6.017, 6.017 and 6.017 Å, with angles of 90.00, 90.00 and 90.00 degrees. Symmetry generates all atoms from Hf at (0.000, 0.000, 0.000), Ag at (0.250, 0.250, 0.750), B at (0.000, 0.000, 0.500) and B at (0.250, 0.250, 0.250).

The calculation puts the size of the total moment at 0.01 μB/cell. The calculation puts the volume at 13.61 A^3/atom. For the total energy, the calculation gives -5.3747 eV/atom.



# 19
Entry from OQMD via LeMat-Bulk: a relaxed HfAg2B crystal (PBE).

The space group is F-43m (No. 216) and the conventional cell measures 6.317, 6.317 and 6.317 Å, with angles of 90.00, 90.00 and 90.00 degrees. Symmetry generates all atoms from Hf at (0.000, 0.000, 0.000), Ag at (0.000, 0.000, 0.500), Ag at (0.250, 0.250, 0.250) and B at (0.250, 0.250, 0.750).

The calculation puts the size of the total moment at 0.00 μB/cell. The calculation puts the volume at 15.75 A^3/atom. For the total energy, the calculation gives -5.1175 eV/atom.



# 20
Entry from OQMD via LeMat-Bulk: a relaxed HfAgB crystal (PBE).

The space group is F-43m (No. 216) and the conventional cell measures 5.890, 5.890 and 5.890 Å, with angles of 90.00, 90.00 and 90.00 degrees. Symmetry generates all atoms from Hf at (0.000, 0.000, 0.000), Ag at (0.250, 0.250, 0.750) and B at (0.000, 0.000, 0.500).

The calculation puts the size of the total moment at 0.00 μB/cell. The calculation puts the volume at 17.03 A^3/atom. The calculation puts the energy above the most stable polymorph in this dataset at 0 meV/atom.